Entry from the Alexandria database: a geometry-optimized ErPaTeO6 structure (GGA-PBE).

Cell lengths 5.6422, 5.6422, 9.6084 Å; angles 90.00, 90.00, 120.00 degrees
Last column: nearest neighbours and their distance in Å.
Space group P-31c (No. 163)
Inequivalent atoms, fractional coordinates:
Er  0.3333  0.6667  0.2500 (multiplicity 2)  6 O 2.26
Pa  0.0000  0.0000  0.0000 (multiplicity 2)  6 O 2.22
Te  0.3333  0.6667  0.7500 (multiplicity 2)  6 O 2.20
O  0.0080  0.3294  0.6290 (multiplicity 12)  1 Te 2.20, 1 Pa 2.22, 1 Er 2.26

Computed properties:
As for the calculated volume: 14.72 Å³ per atom. Its raw total energy is -141.524 eV/cell. The density of states at the Fermi level comes out at 0.0000 states/eV per atom. Its crystal system is trigonal.